An optimized crystal structure of CaP2Pt, computed with PBE.

Properties
The value obtained for the energy above the lowest structure with this stoichiometry is 10.0 kJ per mole of atoms. The total energy comes out at -5.51 eV/atom.

Cell lengths 3.8690, 3.8690, 6.1947 Å; angles 71.88, 71.88, 59.93 degrees
Sites, in units of the cell vectors:
P 0.0225 0.0225 0.9328
Pt 0.7500 0.7500 0.7500
Ca 0.2500 0.2500 0.2500
P 0.4775 0.4775 0.5672

An optimized crystal structure of CaPPt2, computed with PBE.

Properties
The value obtained for the energy above the lowest structure with this stoichiometry is 38.1 kJ per mole of atoms. The total energy comes out at -5.27 eV/atom.

Cell lengths 3.1128, 3.1128, 7.2953 Å; angles 90.00, 90.00, 90.02 degrees
Sites, in units of the cell vectors:
Pt 0.0000 0.0000 0.5496
P 0.5000 0.5000 0.7500
Ca 0.5000 0.5000 0.2500
Pt 0.0000 0.0000 0.9504

An optimized crystal structure of Ca2PPt, computed with PBE.

Properties
The value obtained for the energy above the lowest structure with this stoichiometry is 53.6 kJ per mole of atoms. The total energy comes out at -4.30 eV/atom.

Cell lengths 3.4831, 3.4831, 8.1034 Å; angles 90.00, 90.00, 86.50 degrees
Sites, in units of the cell vectors:
Ca 0.0000 0.0000 0.9286
Ca 0.5000 0.5000 0.3211
Pt 0.5000 0.5000 0.6704
P 0.0000 0.0000 0.5799

An optimized crystal structure of Ca2P8Pt3, computed with PBE.

Properties
The total energy comes out at -5.28 eV/atom.

Cell lengths 8.2389, 8.2389, 8.2389 Å; angles 50.19, 50.19, 50.19 degrees
Sites, in units of the cell vectors:
P 0.5152 0.8562 0.8562
P 0.3989 0.3989 0.3989
P 0.1438 0.1438 0.4848
Ca 0.8615 0.8615 0.8615
P 0.4848 0.1438 0.1438
P 0.1438 0.4848 0.1438
P 0.8562 0.5152 0.8562
Pt 0.5000 0.5000 0.0000
Pt 0.5000 0.0000 0.5000
P 0.8562 0.8562 0.5152
Ca 0.1385 0.1385 0.1385
P 0.6011 0.6011 0.6011
Pt 0.0000 0.5000 0.5000

An optimized crystal structure of CaP2Pt, computed with PBE.

Properties
The value obtained for the energy above the lowest structure with this stoichiometry is 82.9 kJ per mole of atoms. The total energy comes out at -4.75 eV/atom.

Cell lengths 4.6707, 4.6707, 4.6707 Å; angles 60.00, 60.00, 60.00 degrees
Sites, in units of the cell vectors:
Ca 0.5000 0.5000 0.5000
P 0.2500 0.2500 0.2500
Pt 0.7500 0.7500 0.7500
P 0.0000 0.0000 0.0000

An optimized crystal structure of CaPPt2, computed with PBE.

Properties
The value obtained for the energy above the lowest structure with this stoichiometry is 38.5 kJ per mole of atoms. The total energy comes out at -5.27 eV/atom.

Cell lengths 5.1090, 5.1090, 5.1090 Å; angles 133.51, 133.51, 67.85 degrees
Sites, in units of the cell vectors:
P 0.7500 0.2500 0.5000
Ca 0.2500 0.7500 0.5000
Pt 0.5000 0.5000 0.0000
Pt 0.0000 0.0000 0.0000

An optimized crystal structure of CaP2Pt, computed with PBE.

Properties
The value obtained for the energy above the lowest structure with this stoichiometry is 42.2 kJ per mole of atoms. The total energy comes out at -5.17 eV/atom.

Cell lengths 6.1044, 6.1044, 6.1044 Å; angles 143.41, 146.37, 50.53 degrees
Sites, in units of the cell vectors:
P 0.0013 0.0013 0.0000
Ca 0.2874 0.7874 0.5000
Pt 0.5394 0.5394 0.0000
P 0.6718 0.1718 0.5000

An optimized crystal structure of CaP2Pt, computed with PBE.

Properties
The value obtained for the energy above the lowest structure with this stoichiometry is 1.1 kJ per mole of atoms. The total energy comes out at -5.60 eV/atom.

Cell lengths 6.1077, 6.1077, 7.0107 Å; angles 90.00, 90.00, 143.57 degrees
Sites, in units of the cell vectors:
P 0.5919 0.4081 0.4582
Pt 0.1053 0.8947 0.2500
P 0.4081 0.5919 0.9582
P 0.5919 0.4081 0.0418
Ca 0.8324 0.1676 0.2500
P 0.4081 0.5919 0.5418
Ca 0.1676 0.8324 0.7500
Pt 0.8947 0.1053 0.7500

Number 1: formation energy from the elements -0.790 eV/atom. Number 2: formation energy from the elements -0.400 eV/atom. Number 3: formation energy from the elements -0.435 eV/atom. Number 4: formation energy from the elements -0.246 eV/atom. Number 5: formation energy from the elements -0.035 eV/atom. Number 6: formation energy from the elements -0.396 eV/atom. Number 7: formation energy from the elements -0.457 eV/atom. Number 8: formation energy from the elements -0.883 eV/atom.